Crystalline La2RhPb2 at its relaxed geometry. Source: the Alexandria database, functional PBE.

Calculated values
Fermi-level density of states: 1.03 states/eV per atom
space-group type: P4/mbm
DFT total energy: -26.943 eV per formula unit
excess energy over the best structure of this formula in the dataset: 0.158 eV per atom
energy of formation: -0.4641 eV/atom

Cell lengths 7.467, 7.467, 5.052 Å; angles 90.00, 90.00, 90.00 degrees
Element x y z (fractional)
Pb  0.354  0.854  0.000
Pb  0.854  0.646  0.000
Pb  0.646  0.146  0.000
Pb  0.146  0.354  0.000
Rh  0.000  0.000  0.000
Rh  0.500  0.500  0.000
La  0.168  0.668  0.500
La  0.668  0.832  0.500
La  0.832  0.332  0.500
La  0.332  0.168  0.500